Compound: SiB2C
Source: Alexandria
Functional: GGA-PBE
Structure: relaxed Values from VASP.

Geometry as Quantum ESPRESSO input:
```
&SYSTEM
  ibrav = 0, nat = 4, ntyp = 3
/
ATOMIC_SPECIES
Si 28.09 Si.upf
B 10.81 B.upf
C 12.01 C.upf
ATOMIC_POSITIONS crystal
Si 0.0000 0.0000 0.0000
B 0.8200 0.8200 0.2670
B 0.9707 0.9707 0.6045
C 0.3377 0.3377 0.7157
CELL_PARAMETERS angstrom
2.5335 -1.3300 0.0000
2.5335 1.3300 0.0000
-2.2237 0.0000 5.0778
```

Results
**Density**: 2.99 g/cm³
**Excess energy over the best structure of this formula in the dataset**: 334 meV/atom
**Symmetry**: Cm


Compound: HfZn3P
Source: Alexandria
Functional: GGA-PBE
Structure: relaxed Values from VASP.

Geometry as Quantum ESPRESSO input:
```
&SYSTEM
  ibrav = 0, nat = 5, ntyp = 3
/
ATOMIC_SPECIES
Hf 178.49 Hf.upf
Zn 65.41 Zn.upf
P 30.97 P.upf
ATOMIC_POSITIONS crystal
Hf 0.0000 0.0000 0.0000
Zn 0.0000 0.5000 0.5000
Zn 0.5000 0.0000 0.5000
Zn 0.5000 0.5000 0.0000
P 0.5000 0.5000 0.5000
CELL_PARAMETERS angstrom
4.5743 0.0000 0.0000
0.0000 4.5743 0.0000
0.0000 0.0000 4.5743
```

Results
**Formation energy**: 0.561 eV per atom
**Density**: 7.04 g/cm³
**Excess energy over the best structure of this formula in the dataset**: 0 meV/atom
**Symmetry**: Pm-3m


Compound: SrNb2Au
Source: Alexandria
Functional: GGA-PBE
Structure: relaxed Values from VASP.

Geometry as Quantum ESPRESSO input:
```
&SYSTEM
  ibrav = 0, nat = 4, ntyp = 3
/
ATOMIC_SPECIES
Sr 87.62 Sr.upf
Nb 92.91 Nb.upf
Au 196.97 Au.upf
ATOMIC_POSITIONS crystal
Sr 0.0000 0.0000 0.0000
Nb 0.2500 0.2500 0.2500
Nb 0.7500 0.7500 0.7500
Au 0.5000 0.5000 0.5000
CELL_PARAMETERS angstrom
0.0000 3.4478 3.4478
3.4478 0.0000 3.4478
3.4478 3.4478 0.0000
```

Results
**Formation energy**: 0.802 eV per atom
**Density**: 9.53 g/cm³
**Excess energy over the best structure of this formula in the dataset**: 195 meV/atom
**Symmetry**: Fm-3m


Compound: CsSeF
Source: Alexandria
Functional: GGA-PBE
Structure: relaxed Values from VASP.

Geometry as Quantum ESPRESSO input:
```
&SYSTEM
  ibrav = 0, nat = 6, ntyp = 3
/
ATOMIC_SPECIES
Cs 132.91 Cs.upf
Se 78.96 Se.upf
F 19.00 F.upf
ATOMIC_POSITIONS crystal
Cs 0.2489 0.2289 0.3545
Cs 0.7511 0.7711 0.6455
Se 0.2497 0.3726 0.9672
Se 0.7503 0.6274 0.0328
F 0.2510 0.2683 0.6274
F 0.7490 0.7317 0.3726
CELL_PARAMETERS angstrom
4.0821 0.0000 0.0000
-0.0002 4.3023 0.0000
-0.0348 -0.5846 10.8730
```

Results
**Density**: 4.02 g/cm³
**Excess energy over the best structure of this formula in the dataset**: 0 meV/atom
**Symmetry**: P-1


Compound: SrLiSe2
Source: Alexandria
Functional: GGA-PBE
Structure: relaxed Values from VASP.

Geometry as Quantum ESPRESSO input:
```
&SYSTEM
  ibrav = 0, nat = 4, ntyp = 3
/
ATOMIC_SPECIES
Sr 87.62 Sr.upf
Li 6.94 Li.upf
Se 78.96 Se.upf
ATOMIC_POSITIONS crystal
Sr 0.0000 0.0000 0.0000
Li 0.2609 0.7609 0.5000
Se 0.4076 0.4076 0.0000
Se 0.6793 0.1793 0.5000
CELL_PARAMETERS angstrom
-1.9046 2.0590 6.6847
1.9046 -2.0590 6.6847
1.9046 2.0590 -6.6847
```

Results
**Electronic total energy**: -15.151 eV per cell
**Density**: 4.00 g/cm³
**Symmetry**: Imm2


Compound: NaSm2PuTe4
Source: Alexandria
Functional: GGA-PBE
Structure: relaxed Values from VASP.

Geometry as Quantum ESPRESSO input:
```
&SYSTEM
  ibrav = 0, nat = 8, ntyp = 4
/
ATOMIC_SPECIES
Na 22.99 Na.upf
Sm 150.36 Sm.upf
Pu 244.00 Pu.upf
Te 127.60 Te.upf
ATOMIC_POSITIONS crystal
Na 0.0000 0.0000 0.0000
Sm 0.0000 0.5000 0.5000
Sm 0.5000 0.0000 0.5000
Pu 0.5000 0.5000 0.0000
Te 0.2502 0.0000 0.7506
Te 0.2508 0.5000 0.2524
Te 0.7492 0.5000 0.7476
Te 0.7498 0.0000 0.2494
CELL_PARAMETERS angstrom
7.7394 0.0000 0.0000
0.0000 4.4461 0.0000
-2.5671 0.0000 7.3504
```

Results
**Electronic total energy**: -47.906 eV per cell
**Density**: 7.08 g/cm³
**Symmetry**: P2/m


Compound: PuHfMn
Source: Alexandria
Functional: GGA-PBE
Structure: relaxed Values from VASP.

Geometry as Quantum ESPRESSO input:
```
&SYSTEM
  ibrav = 0, nat = 6, ntyp = 3
/
ATOMIC_SPECIES
Pu 244.00 Pu.upf
Hf 178.49 Hf.upf
Mn 54.94 Mn.upf
ATOMIC_POSITIONS crystal
Pu 0.2222 0.2222 0.0000
Pu 0.7778 0.7778 0.0000
Hf 0.0732 0.0732 0.0000
Hf 0.9268 0.9268 0.0000
Mn 0.3556 0.3556 0.0000
Mn 0.6444 0.6444 0.0000
CELL_PARAMETERS angstrom
-1.5459 1.5459 11.1910
1.5459 -1.5459 11.1910
1.5459 1.5459 -11.1910
```

Results
**Formation energy**: 0.305 eV per atom
**Density**: 14.82 g/cm³
**Excess energy over the best structure of this formula in the dataset**: 187 meV/atom
**Symmetry**: I4/mmm


Compound: MoRhCl2
Source: Alexandria
Functional: GGA-PBE
Structure: relaxed Values from VASP.

Geometry as Quantum ESPRESSO input:
```
&SYSTEM
  ibrav = 0, nat = 4, ntyp = 3
/
ATOMIC_SPECIES
Mo 95.94 Mo.upf
Rh 102.91 Rh.upf
Cl 35.45 Cl.upf
ATOMIC_POSITIONS crystal
Mo 0.0000 0.0000 0.0000
Rh 0.2596 0.2596 0.2596
Cl 0.5222 0.5222 0.5222
Cl 0.7320 0.7320 0.7320
CELL_PARAMETERS angstrom
1.5098 0.8717 9.2001
-1.5098 0.8717 9.2001
0.0000 -1.7433 9.2001
```

Results
**Density**: 6.17 g/cm³
**Excess energy over the best structure of this formula in the dataset**: 155 meV/atom
**Symmetry**: R3m


Compound: LaMg2Si
Source: Alexandria
Functional: GGA-PBE
Structure: relaxed Values from VASP.

Geometry as Quantum ESPRESSO input:
```
&SYSTEM
  ibrav = 0, nat = 4, ntyp = 3
/
ATOMIC_SPECIES
La 138.91 La.upf
Mg 24.30 Mg.upf
Si 28.09 Si.upf
ATOMIC_POSITIONS crystal
La 0.0000 0.0000 0.0000
Mg 0.2353 0.2353 0.2353
Mg 0.7647 0.7647 0.7647
Si 0.5000 0.5000 0.5000
CELL_PARAMETERS angstrom
1.6468 0.9508 10.3576
-1.6468 0.9508 10.3576
0.0000 -1.9016 10.3576
```

Results
**Electronic total energy**: -12.856 eV per cell
**Density**: 3.68 g/cm³
**Symmetry**: R-3m


Compound: LiZr2SeBr
Source: Alexandria
Functional: GGA-PBE
Structure: relaxed Values from VASP.

Geometry as Quantum ESPRESSO input:
```
&SYSTEM
  ibrav = 0, nat = 5, ntyp = 4
/
ATOMIC_SPECIES
Li 6.94 Li.upf
Zr 91.22 Zr.upf
Se 78.96 Se.upf
Br 79.90 Br.upf
ATOMIC_POSITIONS crystal
Li 0.0000 0.0000 0.0000
Zr 0.0000 0.5000 0.0000
Zr 0.5000 0.0000 0.0000
Se 0.5000 0.5000 0.5000
Br 0.0000 0.0000 0.5000
CELL_PARAMETERS angstrom
4.9229 0.0000 0.0000
0.0000 4.9229 0.0000
0.0000 0.0000 4.1296
```

Results
**Density**: 5.78 g/cm³
**Excess energy over the best structure of this formula in the dataset**: 42 meV/atom
**Symmetry**: P4/mmm


Compound: Cs2AgSn
Source: Alexandria
Functional: GGA-PBE
Structure: relaxed Values from VASP.

Geometry as Quantum ESPRESSO input:
```
&SYSTEM
  ibrav = 0, nat = 4, ntyp = 3
/
ATOMIC_SPECIES
Cs 132.91 Cs.upf
Ag 107.87 Ag.upf
Sn 118.71 Sn.upf
ATOMIC_POSITIONS crystal
Cs 0.2500 0.2500 0.2500
Cs 0.7500 0.7500 0.7500
Ag 0.0000 0.0000 0.0000
Sn 0.5000 0.5000 0.5000
CELL_PARAMETERS angstrom
0.0000 4.6193 4.6193
4.6193 0.0000 4.6193
4.6193 4.6193 0.0000
```

Results
**Formation energy**: 0.244 eV per atom
**Density**: 4.15 g/cm³
**Excess energy over the best structure of this formula in the dataset**: 240 meV/atom
**Symmetry**: Fm-3m


Compound: Ca6HN2
Source: Alexandria
Functional: GGA-PBE
Structure: relaxed Values from VASP.

Geometry as Quantum ESPRESSO input:
```
&SYSTEM
  ibrav = 0, nat = 9, ntyp = 3
/
ATOMIC_SPECIES
Ca 40.08 Ca.upf
H 1.01 H.upf
N 14.01 N.upf
ATOMIC_POSITIONS crystal
Ca 0.1106 0.1106 0.2870
Ca 0.3346 0.3346 0.9731
Ca 0.3741 0.3741 0.3551
Ca 0.6259 0.6259 0.6449
Ca 0.6654 0.6654 0.0269
Ca 0.8894 0.8894 0.7130
H 0.0000 0.0000 0.5000
N 0.2292 0.2292 0.1526
N 0.7708 0.7708 0.8474
CELL_PARAMETERS angstrom
6.5687 -2.0318 0.0000
6.5687 2.0318 0.0000
-2.9370 0.0000 8.8823
```

Results
**Density**: 1.89 g/cm³
**Excess energy over the best structure of this formula in the dataset**: 78 meV/atom
**Symmetry**: C2/m